No. 1
CaPbCl2F: relaxed, PBE.

Properties
* E: -3.195 eV/atom
* symmetry: No. 123
* theoretical density: 3.02 g cm⁻³

```
CaPbCl2F
1.0
-3.521 3.529 -1.876
-3.725 -0.902 5.295
2.600 3.921 2.497
Pb Ca F Cl
1 1 1 2
direct
0.000 0.000 0.000 Pb
0.000 0.500 0.000 Ca
0.500 0.500 0.500 F
0.000 0.000 0.500 Cl
0.500 0.000 0.000 Cl
```

No. 2
TiSI3: relaxed, PBE.

Properties
* E: -4.035 eV/atom
* symmetry: No. 15
* theoretical density: 3.82 g cm⁻³

```
TiSI3
1.0
-5.282 5.062 2.712
-3.667 -1.816 7.474
8.626 7.884 7.049
S I Ti
4 12 4
direct
0.278 0.668 0.203 S
0.947 0.332 0.703 S
0.722 0.332 0.797 S
0.053 0.668 0.297 S
0.800 0.712 0.091 I
0.716 0.096 0.298 I
0.188 0.096 0.202 I
0.812 0.904 0.798 I
0.488 0.712 0.409 I
0.769 0.187 0.032 I
0.956 0.813 0.532 I
0.512 0.288 0.591 I
0.200 0.288 0.909 I
0.284 0.904 0.702 I
0.231 0.813 0.968 I
0.044 0.187 0.468 I
0.978 0.880 0.148 Ti
0.143 0.880 0.352 Ti
0.022 0.120 0.852 Ti
0.857 0.120 0.648 Ti
```

No. 3
Pt5Au3: relaxed, PBE.

Properties
* symmetry: No. 47
* formation energy: 50 kJ/mol of formula units
* theoretical density: 19.67 g cm⁻³

```
Pt5Au3
1.0
6.305 0.800 -0.048
-4.427 4.560 -0.048
-0.891 -2.544 8.233
Pt Au
10 6
direct
0.255 0.002 0.255 Pt
0.250 0.750 0.500 Pt
0.999 0.745 0.745 Pt
0.750 0.250 0.500 Pt
0.245 0.499 0.745 Pt
0.502 0.755 0.255 Pt
0.745 0.999 0.745 Pt
0.002 0.255 0.255 Pt
0.755 0.502 0.255 Pt
0.499 0.245 0.745 Pt
0.750 0.750 0.000 Au
0.500 0.000 0.000 Au
0.000 0.000 0.500 Au
0.000 0.500 0.000 Au
0.500 0.500 0.500 Au
0.250 0.250 0.000 Au
```

No. 4
Hf7TlBi2: relaxed, PBE.

Properties
* symmetry: No. 65
* formation energy: 702 kJ/mol of formula units
* theoretical density: 10.63 g cm⁻³

```
Hf7TlBi2
1.0
4.877 0.000 0.000
0.000 8.420 -0.414
0.000 -4.168 7.327
Hf Bi Tl
7 2 1
direct
0.500 0.500 0.500 Hf
0.000 0.201 0.799 Hf
0.500 0.067 0.283 Hf
0.000 0.799 0.201 Hf
0.500 0.933 0.717 Hf
0.500 0.717 0.933 Hf
0.500 0.283 0.067 Hf
0.500 0.697 0.303 Bi
0.500 0.303 0.697 Bi
0.000 0.000 0.000 Tl
```

No. 5
La2PrTm6: relaxed, PBE.

Properties
* symmetry: No. 136
* formation energy: 672 kJ/mol of formula units
* theoretical density: 6.93 g cm⁻³

```
La2PrTm6
1.0
-4.454 5.461 4.090
0.707 -4.489 6.764
8.606 5.138 2.510
La Tm Pr
4 12 2
direct
0.500 0.500 0.145 La
0.500 0.500 0.855 La
0.000 0.000 0.355 La
0.000 0.000 0.645 La
0.735 0.735 0.332 Tm
0.740 0.740 0.000 Tm
0.735 0.735 0.668 Tm
0.235 0.765 0.832 Tm
0.265 0.265 0.332 Tm
0.240 0.760 0.500 Tm
0.235 0.765 0.168 Tm
0.260 0.260 0.000 Tm
0.765 0.235 0.168 Tm
0.765 0.235 0.832 Tm
0.265 0.265 0.668 Tm
0.760 0.240 0.500 Tm
0.500 0.500 0.500 Pr
0.000 0.000 0.000 Pr
```

No. 6
CrMo2HIr: relaxed, PBE.

Properties
* E: -8.714 eV/atom
* symmetry: No. 123
* theoretical density: 12.08 g cm⁻³

```
CrMo2HIr
1.0
-0.298 -3.002 2.543
-1.511 -2.267 -2.854
3.554 -1.164 -0.957
Ir H Mo Cr
1 1 2 1
direct
0.500 0.500 0.500 Ir
0.000 0.000 0.000 H
0.500 0.000 0.000 Mo
0.000 0.500 0.000 Mo
0.000 0.000 0.500 Cr
```

No. 7
NaBi2B2S6: relaxed, PBE.

Properties
* E: -4.621 eV/atom
* symmetry: No. 2
* theoretical density: 3.37 g cm⁻³

```
NaBi2B2S6
1.0
9.350 0.055 0.044
4.675 4.537 -0.993
0.031 -3.049 8.342
B Na S Bi
2 1 6 2
direct
0.173 0.657 0.782 B
0.827 0.343 0.218 B
0.500 0.000 0.500 Na
0.583 0.508 0.168 S
0.086 0.506 0.837 S
0.914 0.494 0.163 S
0.929 0.135 0.338 S
0.071 0.865 0.662 S
0.417 0.492 0.832 S
0.278 0.446 0.061 Bi
0.722 0.554 0.939 Bi
```

No. 8
Cs2Sr2SbO6: relaxed, PBE.

Properties
* E: -5.401 eV/atom
* symmetry: No. 12
* theoretical density: 4.63 g cm⁻³

```
Cs2Sr2SbO6
1.0
6.230 0.024 0.070
-3.058 5.428 0.070
-1.117 -1.921 6.918
Sr Cs O Sb
2 2 6 1
direct
0.338 0.662 0.500 Sr
0.662 0.338 0.500 Sr
0.167 0.833 0.000 Cs
0.833 0.167 0.000 Cs
0.784 0.784 0.663 O
0.216 0.216 0.337 O
0.326 0.047 0.659 O
0.674 0.953 0.341 O
0.047 0.326 0.659 O
0.953 0.674 0.341 O
0.000 0.000 0.500 Sb
```